Entry 1:
# GGA-PBE Mg2AgHgPb, relaxed
# E_form ... 0.380 eV/atom
# Crystal system ... tetragonal
data_Mg2AgHgPb
_chemical_formula_sum 'Mg2 Ag1 Hg1 Pb1'
_cell_length_a 5.1984
_cell_length_b 5.1984
_cell_length_c 5.7060
_cell_angle_alpha 90.00
_cell_angle_beta 90.00
_cell_angle_gamma 90.00
_symmetry_space_group_name_H-M 'P 4/m m m'
_symmetry_Int_Tables_number 123
_symmetry_space_group_name_Hall '-P 4 2'
loop_
_atom_site_label
_atom_site_type_symbol
_atom_site_fract_x
_atom_site_fract_y
_atom_site_fract_z
_atom_site_occupancy
Mg1 Mg 0.0000 0.5000 0.0000 1
Ag1 Ag 0.0000 0.0000 0.5000 1
Hg1 Hg 0.5000 0.5000 0.0000 1
Pb1 Pb 0.5000 0.5000 0.5000 1

***

Entry 2:
# GGA-PBE LaSi2PbSe, relaxed
# Formation energy (no corrections) ... 3.20 eV/f.u.
# Crystal system ... tetragonal
data_LaSi2PbSe
_chemical_formula_sum 'La1 Si2 Pb1 Se1'
_cell_length_a 5.0601
_cell_length_b 5.0601
_cell_length_c 6.5075
_cell_angle_alpha 90.00
_cell_angle_beta 90.00
_cell_angle_gamma 90.00
_symmetry_space_group_name_H-M 'P 4/m m m'
_symmetry_Int_Tables_number 123
_symmetry_space_group_name_Hall '-P 4 2'
loop_
_atom_site_label
_atom_site_type_symbol
_atom_site_fract_x
_atom_site_fract_y
_atom_site_fract_z
_atom_site_occupancy
La1 La 0.0000 0.0000 0.0000 1
Si1 Si 0.0000 0.5000 0.5000 1
Pb1 Pb 0.0000 0.0000 0.5000 1
Se1 Se 0.5000 0.5000 0.0000 1

***

Entry 3:
# GGA-PBE LiZr2C, relaxed
# E_form ... 0.215 eV/atom
# Crystal system ... tetragonal
data_LiZr2C
_chemical_formula_sum 'Li4 Zr8 C4'
_cell_length_a 6.9698
_cell_length_b 6.9698
_cell_length_c 5.8899
_cell_angle_alpha 90.00
_cell_angle_beta 90.00
_cell_angle_gamma 90.00
_symmetry_space_group_name_H-M 'I -4 2 d'
_symmetry_Int_Tables_number 122
_symmetry_space_group_name_Hall 'I -4 2bw'
loop_
_atom_site_label
_atom_site_type_symbol
_atom_site_fract_x
_atom_site_fract_y
_atom_site_fract_z
_atom_site_occupancy
Li1 Li 0.0000 0.0000 0.0000 1
Zr1 Zr 0.1674 0.2500 0.6250 1
C1 C 0.0000 0.0000 0.5000 1

***

In μB per formula unit, the total moment values for the records above are, in order, 0.0; 0.0; 0.0.